[1]
A geometry-optimized TbHo2Pb9 structure. Source: Alexandria, functional PBE.

abc: 4.8761 4.8761 14.6251
angles: 90.00 90.00 90.00
Closest atoms and distances in Å follow each position.
Element x y z (fractional)
Tb: 0.0000 0.0000 0.0000  12 Pb 3.45-3.46
Ho: 0.0000 0.0000 0.3333  12 Pb 3.44-3.45
Ho: 0.0000 0.0000 0.6667  12 Pb 3.44-3.45
Pb: 0.5000 0.5000 0.0000  4 Tb 3.45, 8 Pb 3.46
Pb: 0.5000 0.5000 0.3338  8 Pb 3.44, 4 Ho 3.45
Pb: 0.5000 0.5000 0.6662  8 Pb 3.44, 4 Ho 3.45
Pb: 0.5000 0.0000 0.1674  2 Ho 3.44, 8 Pb 3.44-3.46, 2 Tb 3.46
Pb: 0.5000 0.0000 0.5000  8 Pb 3.44-3.45, 4 Ho 3.45
Pb: 0.5000 0.0000 0.8326  2 Ho 3.44, 8 Pb 3.44-3.46, 2 Tb 3.46
Pb: 0.0000 0.5000 0.1674  2 Ho 3.44, 8 Pb 3.44-3.46, 2 Tb 3.46
Pb: 0.0000 0.5000 0.5000  8 Pb 3.44-3.45, 4 Ho 3.45
Pb: 0.0000 0.5000 0.8326  2 Ho 3.44, 8 Pb 3.44-3.46, 2 Tb 3.46

- calculated density (Mg/m³) = 11.24
- raw total energy (hartree per atom) = -0.1543

---

[2]
A geometry-optimized Tb3HoPb12 structure. Source: Alexandria, functional PBE.

abc: 4.9154 4.9154 19.2610
angles: 90.00 90.00 90.00
Closest atoms and distances in Å follow each position.
Element x y z (fractional)
Tb: 0.0000 0.0000 0.2497  12 Pb 3.44-3.48
Tb: 0.0000 0.0000 0.5000  12 Pb 3.44-3.48
Tb: 0.0000 0.0000 0.7503  12 Pb 3.44-3.48
Ho: 0.0000 0.0000 0.0000  12 Pb 3.43-3.48
Pb: 0.5000 0.5000 0.0000  8 Pb 3.43, 4 Ho 3.48
Pb: 0.5000 0.5000 0.2496  8 Pb 3.44, 4 Tb 3.48
Pb: 0.5000 0.5000 0.5000  8 Pb 3.44, 4 Tb 3.48
Pb: 0.5000 0.5000 0.7504  8 Pb 3.44, 4 Tb 3.48
Pb: 0.5000 0.0000 0.1243  8 Pb 3.43-3.48, 2 Ho 3.43, 2 Tb 3.45
Pb: 0.5000 0.0000 0.3748  4 Tb 3.44, 8 Pb 3.44-3.48
Pb: 0.5000 0.0000 0.6252  4 Tb 3.44, 8 Pb 3.44-3.48
Pb: 0.5000 0.0000 0.8757  8 Pb 3.43-3.48, 2 Ho 3.43, 2 Tb 3.45
Pb: 0.0000 0.5000 0.1243  8 Pb 3.43-3.48, 2 Ho 3.43, 2 Tb 3.45
Pb: 0.0000 0.5000 0.3748  4 Tb 3.44, 8 Pb 3.44-3.48
Pb: 0.0000 0.5000 0.6252  4 Tb 3.44, 8 Pb 3.44-3.48
Pb: 0.0000 0.5000 0.8757  2 Ho 3.43, 8 Pb 3.43-3.48, 2 Tb 3.45

- calculated density (Mg/m³) = 11.16
- raw total energy (hartree per atom) = -0.1553

---

Number 1: N(E_F) 6.9 states/eV per cell, E_form -0.2696 eV per atom. Number 2: N(E_F) 8.0 states/eV per cell, E_form -0.2902 eV per atom.